This record from the Alexandria database describes an optimized crystal structure of Li5Si2Au5. The functional is PBE.

```
Li5Si2Au5
1.0
4.317 -0.002 0.799
2.084 3.781 0.799
0.055 0.032 11.882
Au Li Si
5 5 2
Cartesian
2.633 1.555 9.993
5.502 3.248 6.489
3.821 2.256 3.488
0.953 0.563 6.991
0.000 0.000 0.000
5.006 2.956 9.195
1.449 0.855 4.286
3.227 1.905 6.740
1.944 1.148 1.565
4.511 2.663 11.916
0.502 0.296 9.454
5.953 3.515 4.026
```

Calculated values
VASP energy = -3.55 eV/atom
Formation energy without anion corrections = -0.487 eV per atom

=====

This record from the Alexandria database describes an optimized crystal structure of Li2Si2Au. The functional is PBE.

```
Li2Si2Au
1.0
-2.929 2.145 -6.457
3.831 -5.289 -3.495
-2.117 -1.778 0.370
Li Si Au
4 4 2
Cartesian
2.264 -3.862 -5.600
-0.250 -1.339 -7.870
-1.363 0.718 -4.352
1.152 -1.805 -2.082
1.025 -4.120 -3.420
-1.262 -1.204 -2.491
0.046 -3.718 -7.091
-2.241 -0.801 -6.162
0.000 0.000 0.000
0.451 -1.572 -4.976
```

Calculated values
VASP energy = -3.51 eV/atom
Formation energy without anion corrections = 0.079 eV per atom

=====

This record from the Alexandria database describes an optimized crystal structure of Li3Si2Au4. The functional is PBE.

```
Li3Si2Au4
1.0
4.388 0.000 0.000
2.194 3.770 0.482
-0.001 -1.051 8.249
Au Li Si
4 3 2
Cartesian
2.194 3.419 3.220
4.387 -0.700 5.512
2.194 1.129 1.157
4.387 1.590 7.575
0.000 0.000 0.000
2.194 0.781 3.886
4.387 1.938 4.846
4.388 2.292 2.057
2.193 0.427 6.674
```

Calculated values
VASP energy = -3.65 eV/atom
E above lowest polymorph = 43 meV per atom
Formation energy without anion corrections = -0.353 eV per atom

=====

Please write out number 2 again, unchanged.
This record from the Alexandria database describes an optimized crystal structure of Li2Si2Au. The functional is PBE.

```
Li2Si2Au
1.0
-2.929 2.145 -6.457
3.831 -5.289 -3.495
-2.117 -1.778 0.370
Li Si Au
4 4 2
Cartesian
2.264 -3.862 -5.600
-0.250 -1.339 -7.870
-1.363 0.718 -4.352
1.152 -1.805 -2.082
1.025 -4.120 -3.420
-1.262 -1.204 -2.491
0.046 -3.718 -7.091
-2.241 -0.801 -6.162
0.000 0.000 0.000
0.451 -1.572 -4.976
```

Calculated values
VASP energy = -3.51 eV/atom
Formation energy without anion corrections = 0.079 eV per atom